NaMoRhO6: relaxed, PBE with a Hubbard U.

Unit cell a=5.2579 b=5.2579 c=5.1497 alpha=90.00 beta=90.00 gamma=120.00
Space group P312 (No. 149)
Unique sites:
1 Na 0.0000 0.0000 0.0000 (multiplicity 1)
2 Mo 0.3333 0.6667 0.5000 (multiplicity 1)
3 Rh 0.6667 0.3333 0.5000 (multiplicity 1)
4 O 0.0043 0.3774 0.7066 (multiplicity 6)

Output
Total magnetization: 0.2273 μB per atom
ρ: 4.3 Mg/m³
Final energy: -6.21 eV/atom